# 1
Li2AlPd5 after structural relaxation. Source: Alexandria via LeMat-Bulk, functional GGA-PBE.

Cell: 6.434 6.434 7.063 Å, 117.10 117.10 90.00°
Positions (direct):
1 Pd 0.999 0.499 0.308
2 Pd 0.499 0.308 0.308
3 Pd 0.808 0.999 0.308
4 Li 0.857 0.643 0.000
5 Pd 0.308 0.808 0.308
6 Al 0.250 0.250 0.500
7 Pd 0.001 0.501 0.692
8 Al 0.750 0.750 0.500
9 Pd 0.000 0.000 0.000
10 Li 0.357 0.857 0.000
11 Li 0.143 0.357 0.000
12 Pd 0.500 0.500 0.000
13 Pd 0.192 0.001 0.692
14 Pd 0.692 0.192 0.692
15 Pd 0.501 0.692 0.692
16 Li 0.643 0.143 0.000

E_form (kJ/mol of atoms): -48.0
Excess energy over the best structure of this formula in the dataset (meV/atom): 79
Space group: I4/mcm (140)


# 2
NaZr3Si after structural relaxation. Source: Alexandria via LeMat-Bulk, functional GGA-PBE.

Cell: 4.887 4.887 4.887 Å, 90.00 90.00 90.00°
Positions (direct):
1 Zr 0.000 0.000 0.500
2 Zr 0.000 0.500 0.000
3 Zr 0.500 0.000 0.000
4 Na 0.000 0.000 0.000
5 Si 0.500 0.500 0.500

Raw formation energy (eV per atom): 1.419
Excess energy over the best structure of this formula in the dataset (meV/atom): 1063
Space group: Pm-3m (221)


# 3
Er4ThSc3 after structural relaxation. Source: Alexandria via LeMat-Bulk, functional GGA-PBE.

Cell: 3.278 8.511 8.511 Å, 97.04 90.00 90.00°
Each line ends with the local moment (μB).
Positions (direct):
1 Sc 0.000 0.500 0.000  0.26
2 Er 0.000 0.746 0.746  0.12
3 Er 0.500 0.741 0.259  0.14
4 Er 0.500 0.259 0.741  0.14
5 Sc 0.000 0.000 0.500  0.26
6 Er 0.000 0.254 0.254  0.12
7 Sc 0.500 0.500 0.500  0.24
8 Th 0.500 0.000 0.000  0.00

E_form (kJ/mol of atoms): 43.0
Excess energy over the best structure of this formula in the dataset (meV/atom): 304
Space group: Cmmm (65)


# 4
YScTeSe after structural relaxation. Source: Alexandria via LeMat-Bulk, functional GGA-PBE.

Cell: 3.995 3.997 7.531 Å, 90.00 105.36 120.01°
Positions (direct):
1 Se 0.296 0.546 0.858
2 Sc 0.490 0.143 0.649
3 Te 0.976 0.386 0.376
4 Y 0.116 0.956 0.087

Raw formation energy (eV per atom): -1.465
Space group: R3m (160)


# 5
Ba2BeP after structural relaxation. Source: Alexandria via LeMat-Bulk, functional GGA-PBE.

Cell: 6.516 6.516 6.516 Å, 138.46 138.46 60.20°
Positions (direct):
1 P 0.750 0.250 0.500
2 Ba 0.250 0.750 0.500
3 Be 0.500 0.500 0.000
4 Ba 0.000 0.000 0.000

E_form (kJ/mol of atoms): 7.9
Excess energy over the best structure of this formula in the dataset (meV/atom): 521
Space group: I-4m2 (119)


# 6
CdGeB3 after structural relaxation. Source: Alexandria via LeMat-Bulk, functional GGA-PBE.

Cell: 4.392 4.392 4.392 Å, 90.00 90.00 90.00°
Positions (direct):
1 B 0.000 0.000 0.500
2 Ge 0.500 0.500 0.500
3 B 0.500 0.000 0.000
4 B 0.000 0.500 0.000
5 Cd 0.000 0.000 0.000

E_form (kJ/mol of atoms): 225.6
Excess energy over the best structure of this formula in the dataset (meV/atom): 546
Space group: Pm-3m (221)


# 7
Dy3ErThSc after structural relaxation. Source: Alexandria via LeMat-Bulk, functional GGA-PBE.

Cell: 4.925 7.809 9.974 Å, 90.00 90.00 108.38°
Positions (direct):
1 Dy 0.168 0.336 0.750
2 Dy 0.335 0.670 0.000
3 Er 0.000 0.000 0.500
4 Er 0.000 0.000 0.000
5 Dy 0.335 0.670 0.500
6 Dy 0.832 0.664 0.250
7 Dy 0.665 0.330 0.500
8 Th 0.503 0.006 0.250
9 Th 0.497 0.994 0.750
10 Dy 0.665 0.330 0.000
11 Sc 0.165 0.329 0.250
12 Sc 0.835 0.671 0.750

E_form (kJ/mol of atoms): 4.5
Space group: Cmcm (63)


# 8
KH8Pt2 after structural relaxation. Source: Alexandria via LeMat-Bulk, functional GGA-PBE.

Cell: 3.954 5.232 5.232 Å, 116.58 90.07 90.07°
Positions (direct):
1 H 0.997 0.662 0.976
2 H 0.500 0.318 0.682
3 Pt 0.000 0.672 0.328
4 K 0.500 0.000 0.000
5 H 0.003 0.024 0.338
6 Pt 0.000 0.328 0.672
7 H 0.760 0.497 0.497
8 H 0.240 0.503 0.503
9 H 0.997 0.976 0.662
10 H 0.500 0.682 0.318
11 H 0.003 0.338 0.024

Excess energy over the best structure of this formula in the dataset (meV/atom): 130
Space group: C2/m (12)


# 9
TaReSi2 after structural relaxation. Source: Alexandria via LeMat-Bulk, functional GGA-PBE.

Cell: 2.865 2.865 7.918 Å, 90.00 90.00 112.87°
Positions (direct):
1 Re 0.500 0.500 0.750
2 Si 0.000 0.000 0.511
3 Si 0.000 0.000 0.989
4 Ta 0.500 0.500 0.250

Raw formation energy (eV per atom): 0.019
Space group: Cmmm (65)


# 10
Y3TaBr after structural relaxation. Source: Alexandria via LeMat-Bulk, functional GGA-PBE.

Cell: 5.259 5.259 5.259 Å, 90.00 90.00 90.00°
Each line ends with the local moment (μB).
Positions (direct):
1 Ta 0.500 0.500 0.500  0.80
2 Br 0.000 0.000 0.000  -0.01
3 Y 0.000 0.500 0.000  -0.04
4 Y 0.000 0.000 0.500  -0.08
5 Y 0.500 0.000 0.000  0.01

Raw formation energy (eV per atom): 0.377
Excess energy over the best structure of this formula in the dataset (meV/atom): 0
Space group: Pm-3m (221)


# 11
InHgRh2 after structural relaxation. Source: Alexandria via LeMat-Bulk, functional GGA-PBE.

Cell: 9.359 9.359 9.359 Å, 18.62 18.62 18.62°
Each line ends with the local moment (μB).
Positions (direct):
1 Rh 0.004 0.004 0.004  0.38
2 Rh 0.744 0.744 0.744  0.57
3 In 0.259 0.259 0.259  -0.03
4 Hg 0.494 0.494 0.494  -0.02

E_form (kJ/mol of atoms): 21.3
Space group: R3m (160)


# 12
Ca4ZrTa after structural relaxation. Source: Alexandria via LeMat-Bulk, functional GGA-PBE.

Cell: 6.384 6.384 6.384 Å, 60.00 60.00 60.00°
Each line ends with the local moment (μB).
Positions (direct):
1 Ca 0.875 0.375 0.375  0.05
2 Ca 0.375 0.375 0.875  0.05
3 Ta 0.750 0.750 0.750  1.85
4 Ca 0.375 0.375 0.375  0.05
5 Zr 0.000 0.000 0.000  -0.79
6 Ca 0.375 0.875 0.375  0.05

E_form (kJ/mol of atoms): 102.9
Space group: F-43m (216)


| no. | Fermi-level density of states (states/eV per atom) |
| --- | --- |
| 1 | 0.26 |
| 2 | 1.99 |
| 3 | 2.06 |
| 4 | 0.11 |
| 5 | 0.71 |
| 6 | 0.60 |
| 7 | 1.62 |
| 8 | 0.10 |
| 9 | 0.60 |
| 10 | 0.54 |
| 11 | 1.09 |
| 12 | 1.57 |